DFT (GGA-PBE) results for an optimized crystal structure of Ba2SrZrIr.

a = 5.9701 Å, b = 5.9701 Å, c = 5.2582 Å
α = 90.00°, β = 90.00°, γ = 90.00°
Last column: nearest neighbours and their distance in Å.
Space group P4/mmm (No. 123)
Symmetry-distinct sites (fractional):
Ba (0.0000, 0.5000, 0.0000) x2  2 Sr 2.99
Sr (0.0000, 0.0000, 0.0000) x1  2 Zr 2.63
Zr (0.0000, 0.0000, 0.5000) x1  2 Sr 2.63
Ir (0.5000, 0.5000, 0.5000) x1  8 Ba 3.98, 4 Zr 4.22

* magnetization: 0.06 μB/f.u.
* calculated formation energy: 1.806 eV/atom
* Fermi-level density of states: 1.805 states/eV/atom


DFT (GGA-PBE) results for an optimized crystal structure of BaTa3Ir.

a = 5.0293 Å, b = 5.0293 Å, c = 5.0293 Å
α = 90.00°, β = 90.00°, γ = 90.00°
Last column: nearest neighbours and their distance in Å.
Space group Pm-3m (No. 221)
Symmetry-distinct sites (fractional):
Ba (0.0000, 0.0000, 0.0000) x1  12 Ta 3.56
Ta (0.0000, 0.5000, 0.5000) x3  2 Ir 2.51
Ir (0.5000, 0.5000, 0.5000) x1  6 Ta 2.51

* magnetization: 0.00 μB/f.u.
* calculated formation energy: 0.933 eV/atom
* Fermi-level density of states: 0.594 states/eV/atom


DFT (GGA-PBE) results for an optimized crystal structure of Ba2TaIr.

a = 19.8547 Å, b = 3.5858 Å, c = 3.8909 Å
α = 90.00°, β = 101.25°, γ = 90.00°
Last column: nearest neighbours and their distance in Å.
Space group C2/m (No. 12)
Symmetry-distinct sites (fractional):
Ba (0.1470, 0.0000, 0.1455) x4  2 Ir 3.38, 2 Ta 3.46, 2 Ba 3.59
Ta (0.0000, 0.0000, 0.5000) x2  4 Ir 2.65
Ir (0.0000, 0.5000, 0.0000) x2  4 Ta 2.65

* magnetization: 0.00 μB/f.u.
* calculated formation energy: 0.195 eV/atom
* Fermi-level density of states: 1.223 states/eV/atom


DFT (GGA-PBE) results for an optimized crystal structure of Ba2TaIr.

a = 3.3543 Å, b = 5.3219 Å, c = 6.0045 Å
α = 90.00°, β = 97.81°, γ = 90.00°
Last column: nearest neighbours and their distance in Å.
Space group P2/m (No. 10)
Symmetry-distinct sites (fractional):
Ba (0.0882, 0.0000, 0.2567) x2  4 Ba 3.06-3.35, 2 Ir 3.25
Ta (0.5000, 0.5000, 0.0000) x1  2 Ir 3.00, 2 Ta 3.35
Ir (0.5000, 0.5000, 0.5000) x1  2 Ta 3.00, 4 Ba 3.25, 2 Ir 3.35

* magnetization: 0.00 μB/f.u.
* calculated formation energy: 1.015 eV/atom
* Fermi-level density of states: 0.968 states/eV/atom


DFT (GGA-PBE) results for an optimized crystal structure of BaTaIr4.

a = 7.6094 Å, b = 7.6094 Å, c = 7.6094 Å
α = 90.00°, β = 90.00°, γ = 90.00°
Last column: nearest neighbours and their distance in Å.
Space group F-43m (No. 216)
Symmetry-distinct sites (fractional):
Ba (0.0000, 0.0000, 0.0000) x4  12 Ir 3.16, 4 Ta 3.29
Ta (0.2500, 0.2500, 0.2500) x4  12 Ir 3.15, 4 Ba 3.29
Ir (0.1246, 0.1246, 0.6246) x16  6 Ir 2.68-2.70

* magnetization: 0.00 μB/f.u.
* calculated formation energy: 0.217 eV/atom
* Fermi-level density of states: 0.685 states/eV/atom


DFT (GGA-PBE) results for an optimized crystal structure of Ba2TaIr.

a = 5.6911 Å, b = 5.6911 Å, c = 3.4374 Å
α = 90.00°, β = 90.00°, γ = 90.00°
Last column: nearest neighbours and their distance in Å.
Space group P4/mmm (No. 123)
Symmetry-distinct sites (fractional):
Ba (0.0000, 0.5000, 0.0000) x2  4 Ta 3.32, 4 Ir 3.32, 2 Ba 3.44
Ta (0.0000, 0.0000, 0.5000) x1  8 Ba 3.32, 2 Ta 3.44
Ir (0.5000, 0.5000, 0.5000) x1  8 Ba 3.32, 2 Ir 3.44

* magnetization: 0.00 μB/f.u.
* calculated formation energy: 1.139 eV/atom
* Fermi-level density of states: 0.939 states/eV/atom


DFT (GGA-PBE) results for an optimized crystal structure of BaTaIr.

a = 6.8386 Å, b = 6.8386 Å, c = 6.8386 Å
α = 90.00°, β = 90.00°, γ = 90.00°
Last column: nearest neighbours and their distance in Å.
Space group F-43m (No. 216)
Symmetry-distinct sites (fractional):
Ba (0.0000, 0.0000, 0.0000) x4  4 Ir 2.96
Ta (0.0000, 0.0000, 0.5000) x4  4 Ir 2.96
Ir (0.2500, 0.2500, 0.7500) x4  4 Ba 2.96, 4 Ta 2.96

* magnetization: 1.03 μB/f.u.
* calculated formation energy: 0.932 eV/atom
* Fermi-level density of states: 1.401 states/eV/atom


DFT (GGA-PBE) results for an optimized crystal structure of Ba3TaIr.

a = 6.0179 Å, b = 6.0179 Å, c = 6.0179 Å
α = 90.00°, β = 90.00°, γ = 90.00°
Last column: nearest neighbours and their distance in Å.
Space group Pm-3m (No. 221)
Symmetry-distinct sites (fractional):
Ba (0.0000, 0.0000, 0.5000) x3  2 Ir 3.01
Ta (0.5000, 0.5000, 0.5000) x1  12 Ba 4.26
Ir (0.0000, 0.0000, 0.0000) x1  6 Ba 3.01

* magnetization: 5.59 μB/f.u.
* calculated formation energy: 0.912 eV/atom
* Fermi-level density of states: 0.617 states/eV/atom